DFT (PBE) results for a relaxed Tm5Bi5Pt crystal.

Cell lengths 7.4225, 7.4225, 8.8402 Å; angles 109.28, 109.28, 48.39 degrees
Closest atoms and distances in Å follow each position.
Sites, in units of the cell vectors:
Tm 0.0000 0.0000 0.0000  2 Pt 3.04, 4 Bi 3.08-3.12
Tm 0.3345 0.3345 0.1402  1 Pt 2.93, 4 Bi 3.10-3.26
Tm 0.3406 0.3406 0.6923  1 Pt 2.79, 4 Bi 3.06-3.12
Tm 0.6594 0.6594 0.3077  1 Pt 2.79, 4 Bi 3.06-3.12
Tm 0.6655 0.6655 0.8598  1 Pt 2.93, 4 Bi 3.10-3.26
Bi 0.1399 0.1399 0.7865  5 Tm 3.10-3.28
Bi 0.1741 0.1741 0.3400  5 Tm 3.06-3.26
Bi 0.5000 0.5000 0.5000  4 Tm 3.16-3.19
Bi 0.8259 0.8259 0.6600  5 Tm 3.06-3.26
Bi 0.8601 0.8601 0.2135  5 Tm 3.10-3.28
Pt 0.5000 0.5000 0.0000  6 Tm 2.79-3.04

Total magnetization: 0.00 μB per formula unit
SG: No. 12
Formation energy from the elements: -0.56 eV per atom
Raw total energy: -4.9093 eV/atom